1.
The following is a DFT calculation (GGA-PBE) of a relaxed structure of Si3TeCl.

- DFT total energy (eV per cell) = -14.732
- Fermi-level density of states (states/eV/atom) = 1.898
- V (Å³/atom) = 31.36
- polymorph energy (0 for the lowest one) (eV/atom) = 0.1784
- total magnetization (Bohr magnetons per cell) = 0.00

Lattice parameters (Å, degrees): 5.392 5.392 5.392 90.00 90.00 90.00
Space group Pm-3m (No. 221)
Inequivalent atoms, fractional coordinates:
Si 0.000 0.000 0.500 [3 per cell]
Te 0.000 0.000 0.000 [1 per cell]
Cl 0.500 0.500 0.500 [1 per cell]

2.
The following is a DFT calculation (GGA-PBE) of a relaxed structure of LiHfMg2.

- DFT total energy (eV per cell) = -44.375
- Fermi-level density of states (states/eV/atom) = 0.673
- V (Å³/atom) = 21.52
- polymorph energy (0 for the lowest one) (eV/atom) = 0.0061
- total magnetization (Bohr magnetons per cell) = 0.00

Lattice parameters (Å, degrees): 3.0641 3.0641 31.7643 90.00 90.00 120.00
Space group R3m (No. 160, hexagonal axes)
Inequivalent atoms, fractional coordinates:
Li 0.0000 0.0000 0.0000 [3 per cell]
Hf 0.0000 0.0000 0.8328 [3 per cell]
Mg 0.0000 0.0000 0.4140 [3 per cell]
Mg 0.0000 0.0000 0.5850 [3 per cell]

3.
The following is a DFT calculation (GGA-PBE) of a relaxed structure of KNaCe2Br8.

- DFT total energy (eV per cell) = -48.580
- Fermi-level density of states (states/eV/atom) = 1.322
- V (Å³/atom) = 38.81
- total magnetization (Bohr magnetons per cell) = 2.00

Lattice parameters (Å, degrees): 7.017 9.083 7.324 90.00 93.87 90.00
Space group P2/m (No. 10)
Inequivalent atoms, fractional coordinates:
K 0.000 0.000 0.000 [1 per cell]
Na 0.000 0.500 0.000 [1 per cell]
Ce 0.500 0.255 0.500 [2 per cell]
Br 0.249 0.269 0.176 [4 per cell]
Br 0.278 0.500 0.651 [2 per cell]
Br 0.282 0.000 0.640 [2 per cell]

4.
The following is a DFT calculation (GGA-PBE) of a relaxed structure of La2GaIrPb.

- DFT total energy (eV per cell) = -57.217
- Fermi-level density of states (states/eV/atom) = 0.733
- V (Å³/atom) = 28.04
- polymorph energy (0 for the lowest one) (eV/atom) = 0.0000
- total magnetization (Bohr magnetons per cell) = 0.00

Lattice parameters (Å, degrees): 8.217 4.402 8.301 90.00 110.97 90.00
Space group P2_1/m (No. 11)
Inequivalent atoms, fractional coordinates:
La 0.086 0.250 0.333 [2 per cell]
La 0.333 0.750 0.081 [2 per cell]
Ga 0.236 0.250 0.761 [2 per cell]
Ir 0.052 0.250 0.945 [2 per cell]
Pb 0.377 0.750 0.625 [2 per cell]

5.
The following is a DFT calculation (GGA-PBE) of a relaxed structure of KZr2Sb.

- DFT total energy (eV per cell) = -43.080
- Fermi-level density of states (states/eV/atom) = 1.040
- V (Å³/atom) = 28.25
- total magnetization (Bohr magnetons per cell) = 0.00

Lattice parameters (Å, degrees): 12.413 3.188 5.927 90.00 105.54 90.00
Space group C2/m (No. 12)
Inequivalent atoms, fractional coordinates:
K 0.000 0.000 0.000 [2 per cell]
Zr 0.213 0.000 0.686 [4 per cell]
Sb 0.000 0.500 0.500 [2 per cell]

6.
The following is a DFT calculation (GGA-PBE) of a relaxed structure of Tm2PuMgTl4.

- DFT total energy (eV per cell) = -106.618
- Fermi-level density of states (states/eV/atom) = 1.636
- V (Å³/atom) = 26.55
- total magnetization (Bohr magnetons per cell) = 18.45

Lattice parameters (Å, degrees): 5.2628 5.2628 26.5648 90.00 90.00 120.00
Space group R-3m (No. 166, hexagonal axes)
Inequivalent atoms, fractional coordinates:
Tm 0.0000 0.0000 0.2468 [6 per cell]
Pu 0.0000 0.0000 0.0000 [3 per cell]
Mg 0.0000 0.0000 0.5000 [3 per cell]
Tl 0.0000 0.0000 0.1262 [6 per cell]
Tl 0.0000 0.0000 0.3772 [6 per cell]